(1)
Fe5PtRh6: relaxed, PBE-GGA.

Lattice parameters (Å, degrees): 3.8241 6.1026 7.3462 90.00 90.00 71.74
Last column: nearest neighbours and their distance in Å.
Positions (direct):
Fe 0.6695 0.6611 0.5000  8 Rh 2.62-2.64, 4 Fe 2.67-2.74
Fe 0.3352 0.3296 0.0000  8 Rh 2.66-2.72, 2 Pt 2.70, 2 Fe 2.75
Fe 0.3305 0.3389 0.5000  8 Rh 2.62-2.64, 4 Fe 2.67-2.74
Fe 0.6648 0.6704 0.0000  8 Rh 2.66-2.72, 2 Pt 2.70, 2 Fe 2.75
Fe 0.0000 0.0000 0.5000  8 Rh 2.59-2.66, 4 Fe 2.74
Rh 0.1678 0.6644 0.7479  7 Fe 2.62-2.68, 1 Pt 2.69, 4 Rh 2.70-2.73
Rh 0.8322 0.3356 0.2521  7 Fe 2.62-2.68, 1 Pt 2.69, 4 Rh 2.70-2.73
Rh 0.1678 0.6644 0.2521  7 Fe 2.62-2.68, 1 Pt 2.69, 4 Rh 2.70-2.73
Rh 0.8322 0.3356 0.7479  7 Fe 2.62-2.68, 1 Pt 2.69, 4 Rh 2.70-2.73
Rh 0.5000 0.0000 0.2629  6 Fe 2.59-2.72, 2 Pt 2.72, 4 Rh 2.73
Rh 0.5000 0.0000 0.7371  6 Fe 2.59-2.72, 2 Pt 2.72, 4 Rh 2.73
Pt 0.0000 0.0000 0.0000  8 Rh 2.69-2.72, 4 Fe 2.70

Summary:
crystal system: orthorhombic
ΔH_f (0 K): -37 meV per atom



(2)
In2HgAs2: relaxed, PBE-GGA.

Lattice parameters (Å, degrees): 4.7478 4.7478 6.8151 69.61 69.61 90.00
Last column: nearest neighbours and their distance in Å.
Positions (direct):
In 0.6200 0.6200 0.7601  4 As 2.83, 1 In 2.85
In 0.3800 0.3800 0.2399  4 As 2.83, 1 In 2.85
Hg 0.0000 0.0000 0.0000  8 In 3.65, 8 As 3.80
As 0.7500 0.2500 0.5000  4 In 2.83
As 0.2500 0.7500 0.5000  4 In 2.83

Summary:
crystal system: tetragonal
ΔH_f (0 K): 104 meV per atom
offset from the most stable computed form: 58.7 meV/atom



(3)
Sb2As: relaxed, PBE-GGA.

Lattice parameters (Å, degrees): 4.2465 4.2465 5.1146 90.00 90.00 120.00
Last column: nearest neighbours and their distance in Å.
Positions (direct):
Sb 0.6667 0.3333 0.6813  3 As 2.94, 3 Sb 3.07
Sb 0.3333 0.6667 0.3187  3 As 2.94, 3 Sb 3.07
As 0.0000 0.0000 0.0000  6 Sb 2.94

Summary:
crystal system: trigonal
energy relative to the elements, uncorrected: 0.069 eV/atom
offset from the most stable computed form: 1.9 meV/atom



(4)
CsTlIn2Ga: relaxed, PBE-GGA.

Lattice parameters (Å, degrees): 5.7365 5.7365 5.8062 90.00 90.00 90.00
Last column: nearest neighbours and their distance in Å.
Positions (direct):
Cs 0.5000 0.5000 0.5000  4 Tl 4.06, 8 In 4.08
In 0.0000 0.5000 0.0000  2 Ga 2.87
In 0.5000 0.0000 0.0000  2 Ga 2.87
Ga 0.0000 0.0000 0.0000  4 In 2.87, 2 Tl 2.90
Tl 0.0000 0.0000 0.5000  2 Ga 2.90

Summary:
crystal system: tetragonal
ΔH_f (0 K): 108 meV per atom



(5)
Be2FeP8: relaxed, PBE-GGA.

Lattice parameters (Å, degrees): 4.1342 6.6437 8.0974 117.39 105.13 90.71
Last column: nearest neighbours and their distance in Å.
Positions (direct):
Fe 0.0000 0.0000 0.0000  6 P 2.17-2.27
P 0.4485 0.8102 0.4514  2 P 2.25-2.27, 2 Be 2.31
P 0.4664 0.1126 0.2385  1 Fe 2.17, 3 P 2.21-2.25
P 0.5336 0.8874 0.7615  1 Fe 2.17, 3 P 2.21-2.25
P 0.7600 0.3128 0.1496  1 Be 2.15, 2 P 2.25-2.27, 1 Fe 2.27
P 0.2768 0.1855 0.8956  1 Be 2.17, 2 P 2.21-2.27, 1 Fe 2.23
P 0.5515 0.1898 0.5486  2 P 2.25-2.27, 2 Be 2.31
P 0.7232 0.8145 0.1044  1 Be 2.17, 2 P 2.21-2.27, 1 Fe 2.23
P 0.2400 0.6872 0.8504  1 Be 2.15, 2 P 2.25-2.27, 1 Fe 2.27
Be 0.1268 0.3187 0.6922  4 P 2.15-2.31
Be 0.8732 0.6813 0.3078  4 P 2.15-2.31

Summary:
crystal system: triclinic
ΔH_f (0 K): -120 meV per atom



(6)
LiIn2Hg: relaxed, PBE-GGA.

Lattice parameters (Å, degrees): 5.0599 3.2969 5.7937 83.49 90.00 90.00
Last column: nearest neighbours and their distance in Å.
Positions (direct):
In 0.0000 0.5393 0.4983  2 Hg 3.04, 5 In 3.05-3.37, 2 Li 3.11
In 0.0000 0.9607 0.0017  2 Hg 3.04, 5 In 3.05-3.37, 2 Li 3.11
Li 0.5000 0.2500 0.2500  4 In 3.11, 2 Hg 3.17, 2 Li 3.30
Hg 0.5000 0.7500 0.7500  4 In 3.04, 2 Li 3.17, 2 Hg 3.30

Summary:
crystal system: monoclinic
ΔH_f (0 K): -114 meV per atom



(7)
PmEr6In6: relaxed, PBE-GGA.

Lattice parameters (Å, degrees): 6.2177 6.2177 10.7085 90.00 90.00 119.99
Last column: nearest neighbours and their distance in Å.
Positions (direct):
Er 0.3333 0.6667 0.5000  6 In 3.26, 3 Er 3.59
Er 0.3333 0.6667 0.0000  6 In 3.18
Er 0.6667 0.3333 0.0000  6 In 3.18
Er 0.6667 0.3333 0.5000  6 In 3.26, 3 Er 3.59
Er 0.0000 0.0000 0.3413  6 In 3.27, 1 Er 3.40, 1 Pm 3.65
Er 0.0000 0.0000 0.6587  6 In 3.27, 1 Er 3.40, 1 Pm 3.65
In 0.5000 0.0000 0.2454  4 In 3.11, 6 Er 3.18-3.27
In 0.0000 0.5000 0.7546  4 In 3.11, 6 Er 3.18-3.27
In 0.5000 0.5000 0.7545  4 In 3.11, 6 Er 3.18-3.27
In 0.5000 0.5000 0.2455  4 In 3.11, 6 Er 3.18-3.27
In 0.0000 0.5000 0.2454  4 In 3.11, 6 Er 3.18-3.27
In 0.5000 0.0000 0.7546  4 In 3.11, 6 Er 3.18-3.27
Pm 0.0000 0.0000 0.0000  8 Er 3.59-3.65

Summary:
crystal system: hexagonal
ΔH_f (0 K): -321 meV per atom